[1]
DFT (PBE) results for a relaxed structure of NpNbC.

Computed properties:
SG = I4mm
offset from the most stable computed form = 610 meV/atom
total magnetization = 3.8 μB per cell

Unit cell a=3.0865 b=3.0865 c=5.5826 alpha=106.05 beta=106.05 gamma=90.00
Site moments in Bohr magnetons follow the coordinates.
Positions (direct):
Np  0.0048  0.0048  0.0096  3.83
Nb  0.7260  0.7260  0.4520  -0.16
C  0.2692  0.2692  0.5384  -0.03

[2]
DFT (PBE) results for a relaxed structure of NpNbC.

Computed properties:
SG = P2_1/m
offset from the most stable computed form = 0 meV/atom
total magnetization = 0.7 μB per cell

Unit cell a=3.3005 b=4.9590 c=5.5532 alpha=80.28 beta=90.00 gamma=90.00
Site moments in Bohr magnetons follow the coordinates.
Positions (direct):
Nb  0.7500  0.7626  0.4495  -0.02
Nb  0.2500  0.2374  0.5505  -0.02
C  0.7500  0.0027  0.7535  -0.01
C  0.2500  0.9973  0.2465  -0.01
Np  0.7500  0.3154  0.0343  0.40
Np  0.2500  0.6846  0.9657  0.40

[3]
DFT (PBE) results for a relaxed structure of NpNb2C.

Computed properties:
SG = R-3m
total magnetization = 4.2 μB per cell

Unit cell a=3.0964 b=3.0964 c=8.5504 alpha=79.57 beta=79.57 gamma=60.00
Site moments in Bohr magnetons follow the coordinates.
Positions (direct):
Np  0.0000  0.0000  0.0000  3.67
Nb  0.1169  0.1169  0.6492  0.16
Nb  0.8831  0.8831  0.3508  0.16
C  0.5000  0.5000  0.5000  0.01

[4]
DFT (PBE) results for a relaxed structure of Np2TaNbC4.

Computed properties:
SG = P2/m
total magnetization = 4.5 μB per cell

Unit cell a=3.2584 b=5.6462 c=5.9160 alpha=108.52 beta=90.00 gamma=90.00
Site moments in Bohr magnetons follow the coordinates.
Positions (direct):
Np  0.5000  0.0000  0.5000  2.27
Np  0.0000  0.5000  0.5000  2.44
Ta  0.0000  0.0000  0.0000  -0.02
Nb  0.5000  0.5000  0.0000  -0.04
C  0.5000  0.2395  0.2269  -0.07
C  0.5000  0.7605  0.7731  -0.07
C  0.0000  0.2545  0.7712  -0.07
C  0.0000  0.7455  0.2288  -0.07

[5]
DFT (PBE) results for a relaxed structure of Np3Ta2NbC6.

Computed properties:
SG = C2/m
total magnetization = 6.8 μB per cell

Unit cell a=5.6426 b=5.6426 c=5.9160 alpha=99.14 beta=99.14 gamma=120.02
Site moments in Bohr magnetons follow the coordinates.
Positions (direct):
Np  0.1659  0.8341  0.5000  2.38
Np  0.8341  0.1659  0.5000  2.38
Np  0.5000  0.5000  0.5000  2.38
Ta  0.3333  0.6667  0.0000  -0.02
Ta  0.6667  0.3333  0.0000  -0.02
Nb  0.0000  0.0000  0.0000  -0.05
C  0.9241  0.5877  0.7726  -0.07
C  0.7391  0.7391  0.2266  -0.07
C  0.0759  0.4123  0.2274  -0.07
C  0.5877  0.9241  0.7726  -0.07
C  0.2609  0.2609  0.7734  -0.07
C  0.4123  0.0759  0.2274  -0.07

[6]
DFT (PBE) results for a relaxed structure of NbC2O.

Computed properties:
SG = I-42d
total magnetization = 0.0 μB per cell

Unit cell a=5.0367 b=5.0367 c=4.7942 alpha=58.31 beta=58.31 gamma=90.00
Positions (direct):
Nb  0.0000  0.0000  0.0000
Nb  0.7500  0.2500  0.5000
C  0.5560  0.1250  0.2500
C  0.1940  0.6250  0.2500
C  0.3750  0.4440  0.7500
C  0.8750  0.8060  0.7500
O  0.5000  0.5000  0.0000
O  0.2500  0.7500  0.5000

[7]
DFT (PBE) results for a relaxed structure of NbCO5.

Computed properties:
SG = P1
total magnetization = 1.0 μB per cell

Unit cell a=3.9502 b=6.3524 c=8.4123 alpha=138.48 beta=117.56 gamma=90.07
Site moments in Bohr magnetons follow the coordinates.
Positions (direct):
Nb  0.2910  0.0986  0.0997  -0.05
C  0.3643  0.5263  0.0253  -0.02
O  0.8567  0.6374  0.6383  0.09
O  0.3584  0.4654  0.1405  0.14
O  0.8626  0.1443  0.1452  0.11
O  0.3712  0.3074  0.8031  0.38
O  0.3651  0.8206  0.1478  0.14

[8]
DFT (PBE) results for a relaxed structure of NbCO3.

Computed properties:
SG = Pm-3m
total magnetization = 1.0 μB per cell

Unit cell a=3.9477 b=3.9477 c=3.9477 alpha=90.00 beta=90.00 gamma=90.00
Site moments in Bohr magnetons follow the coordinates.
Positions (direct):
Nb  0.0000  0.0000  0.0000  0.02
C  0.5000  0.5000  0.5000  0.63
O  0.0000  0.5000  0.0000  -0.03
O  0.0000  0.0000  0.5000  -0.07
O  0.5000  0.0000  0.0000  -0.04

[9]
DFT (PBE) results for a relaxed structure of NbCO2.

Computed properties:
SG = R-3m
total magnetization = 0.0 μB per cell

Unit cell a=6.2813 b=6.2813 c=6.2813 alpha=26.06 beta=26.06 gamma=26.06
Positions (direct):
Nb  0.0000  0.0000  0.0000
C  0.5000  0.5000  0.5000
O  0.8893  0.8893  0.8893
O  0.1107  0.1107  0.1107

[10]
DFT (PBE) results for a relaxed structure of NbCO2.

Computed properties:
SG = I4_1/amd
total magnetization = 5.5 μB per cell

Unit cell a=6.1798 b=6.1798 c=6.1869 alpha=60.04 beta=60.04 gamma=90.00
Site moments in Bohr magnetons follow the coordinates.
Positions (direct):
Nb  0.0000  0.0000  0.0000  0.31
Nb  0.7500  0.2500  0.5000  0.31
C  0.5000  0.5000  0.0000  1.07
C  0.2500  0.7500  0.5000  1.07
O  0.8749  0.1250  0.2500  0.01
O  0.8751  0.6250  0.2500  0.01
O  0.3750  0.1251  0.7500  0.01
O  0.8750  0.1249  0.7500  0.01

[11]
DFT (PBE) results for a relaxed structure of NbCO.

Computed properties:
SG = C2/m
total magnetization = 0.0 μB per cell

Unit cell a=3.2048 b=4.0672 c=5.7837 alpha=90.60 beta=90.00 gamma=113.20
Positions (direct):
Nb  0.7355  0.4710  0.2331
Nb  0.2645  0.5290  0.7669
C  0.5692  0.1384  0.9186
C  0.4308  0.8616  0.0814
O  0.8552  0.7104  0.6016
O  0.1448  0.2896  0.3984

[12]
DFT (PBE) results for a relaxed structure of Nb3CO.

Computed properties:
SG = Pm-3m
offset from the most stable computed form = 0 meV/atom
total magnetization = 0.0 μB per cell

Unit cell a=4.1231 b=4.1231 c=4.1231 alpha=90.00 beta=90.00 gamma=90.00
Positions (direct):
Nb  0.0000  0.5000  0.0000
Nb  0.0000  0.0000  0.5000
Nb  0.5000  0.0000  0.0000
C  0.5000  0.5000  0.5000
O  0.0000  0.0000  0.0000

[13]
DFT (PBE) results for a relaxed structure of NbCO2.

Computed properties:
SG = R-3m
total magnetization = 0.0 μB per cell

Unit cell a=6.0349 b=6.0349 c=6.0349 alpha=26.93 beta=26.93 gamma=26.93
Positions (direct):
Nb  0.5000  0.5000  0.5000
C  0.0000  0.0000  0.0000
O  0.9245  0.9245  0.9245
O  0.0755  0.0755  0.0755

[14]
DFT (PBE) results for a relaxed structure of Nb6C5O.

Computed properties:
SG = C2/m
total magnetization = 0.0 μB per cell

Unit cell a=5.5413 b=5.5413 c=5.5365 alpha=99.58 beta=99.58 gamma=119.94
Positions (direct):
Nb  0.4438  0.0867  0.2570
Nb  0.9133  0.5562  0.7430
Nb  0.2646  0.2646  0.7283
Nb  0.7354  0.7354  0.2717
Nb  0.0867  0.4438  0.2570
Nb  0.5562  0.9133  0.7430
C  0.8369  0.1631  0.5000
C  0.6662  0.3338  0.0000
C  0.5000  0.5000  0.5000
C  0.3338  0.6662  0.0000
C  0.1631  0.8369  0.5000
O  0.0000  0.0000  0.0000

[15]
DFT (PBE) results for a relaxed structure of NbPCO2.

Computed properties:
SG = P4/mmm
offset from the most stable computed form = 421 meV/atom
total magnetization = 0.2 μB per cell

Unit cell a=3.7091 b=3.7091 c=3.7831 alpha=90.00 beta=90.00 gamma=90.00
Site moments in Bohr magnetons follow the coordinates.
Positions (direct):
P  0.0000  0.0000  0.5000  -0.01
Nb  0.5000  0.5000  0.5000  0.17
C  0.0000  0.0000  0.0000  0.00
O  0.0000  0.5000  0.0000  -0.01
O  0.5000  0.0000  0.0000  -0.01

[16]
DFT (PBE) results for a relaxed structure of NbP2CO.

Computed properties:
SG = P4/mmm
offset from the most stable computed form = 0 meV/atom
total magnetization = 0.0 μB per cell

Unit cell a=3.8672 b=3.8672 c=3.9459 alpha=90.00 beta=90.00 gamma=90.00
Positions (direct):
P  0.0000  0.5000  0.0000
P  0.5000  0.0000  0.0000
Nb  0.5000  0.5000  0.5000
C  0.0000  0.0000  0.0000
O  0.0000  0.0000  0.5000

[17]
DFT (PBE) results for a relaxed structure of NbPCO2.

Computed properties:
SG = P4/mmm
offset from the most stable computed form = 0 meV/atom
total magnetization = 0.5 μB per cell

Unit cell a=3.8096 b=3.8096 c=5.4621 alpha=90.00 beta=90.00 gamma=90.00
Site moments in Bohr magnetons follow the coordinates.
Positions (direct):
P  0.0000  0.0000  0.5000  -0.06
Nb  0.0000  0.0000  0.0000  -0.02
C  0.5000  0.5000  0.5000  0.33
O  0.0000  0.5000  0.0000  0.01
O  0.5000  0.0000  0.0000  0.01

[18]
DFT (PBE) results for a relaxed structure of NbP2CO.

Computed properties:
SG = P4/mmm
offset from the most stable computed form = 400 meV/atom
total magnetization = 0.3 μB per cell

Unit cell a=4.9205 b=4.9205 c=3.8463 alpha=90.00 beta=90.00 gamma=90.00
Site moments in Bohr magnetons follow the coordinates.
Positions (direct):
P  0.0000  0.5000  0.0000  -0.14
P  0.5000  0.0000  0.0000  -0.14
Nb  0.0000  0.0000  0.0000  0.03
C  0.5000  0.5000  0.5000  0.45
O  0.0000  0.0000  0.5000  -0.06

[19]
DFT (PBE) results for a relaxed structure of NbSbC2O.

Computed properties:
SG = P4/mmm
total magnetization = 0.0 μB per cell

Unit cell a=4.0116 b=4.0936 c=4.0116 alpha=90.00 beta=90.00 gamma=90.00
Positions (direct):
Sb  0.0000  0.5000  0.0000
Nb  0.5000  0.5000  0.5000
C  0.0000  0.0000  0.5000
C  0.5000  0.0000  0.0000
O  0.0000  0.0000  0.0000

[20]
DFT (PBE) results for a relaxed structure of TiNbC2O.

Computed properties:
SG = P4/mmm
total magnetization = 0.0 μB per cell

Unit cell a=3.8631 b=3.8631 c=5.6290 alpha=90.00 beta=90.00 gamma=90.00
Positions (direct):
Nb  0.0000  0.0000  0.0000
C  0.0000  0.5000  0.0000
C  0.5000  0.0000  0.0000
O  0.5000  0.5000  0.5000
Ti  0.0000  0.0000  0.5000

[21]
DFT (PBE) results for a relaxed structure of TiNb2CO.

Computed properties:
SG = P4/mmm
total magnetization = 0.0 μB per cell

Unit cell a=4.7760 b=3.5998 c=4.7760 alpha=90.00 beta=90.00 gamma=90.00
Positions (direct):
Nb  0.0000  0.0000  0.5000
Nb  0.5000  0.0000  0.0000
C  0.5000  0.5000  0.5000
O  0.0000  0.5000  0.0000
Ti  0.0000  0.0000  0.0000

[22]
DFT (PBE) results for a relaxed structure of NbP2OsC.

Computed properties:
SG = P4/mmm
total magnetization = 0.7 μB per cell

Unit cell a=4.3398 b=5.2721 c=4.3398 alpha=90.00 beta=90.00 gamma=90.00
Site moments in Bohr magnetons follow the coordinates.
Positions (direct):
P  0.0000  0.0000  0.5000  -0.03
P  0.5000  0.0000  0.0000  -0.01
Nb  0.0000  0.5000  0.0000  0.26
Os  0.0000  0.0000  0.0000  0.00
C  0.5000  0.5000  0.5000  0.21

[23]
DFT (PBE) results for a relaxed structure of RbNbOs2C.

Computed properties:
SG = P4/mmm
total magnetization = 1.7 μB per cell

Unit cell a=4.0693 b=5.1069 c=4.0693 alpha=90.00 beta=90.00 gamma=90.00
Site moments in Bohr magnetons follow the coordinates.
Positions (direct):
Nb  0.5000  0.5000  0.5000  1.48
Os  0.0000  0.0000  0.5000  -0.10
Os  0.5000  0.0000  0.0000  -0.12
C  0.0000  0.0000  0.0000  0.01
Rb  0.0000  0.5000  0.0000  0.09

[24]
DFT (PBE) results for a relaxed structure of NbOsRu2C.

Computed properties:
SG = P4/mmm
total magnetization = 0.0 μB per cell

Unit cell a=4.6320 b=4.8621 c=4.6320 alpha=90.00 beta=90.00 gamma=90.00
Positions (direct):
Ru  0.0000  0.0000  0.5000
Ru  0.5000  0.0000  0.0000
Nb  0.0000  0.5000  0.0000
Os  0.0000  0.0000  0.0000
C  0.5000  0.5000  0.5000

[25]
DFT (PBE) results for a relaxed structure of NbOs2RuC.

Computed properties:
SG = P4/mmm
offset from the most stable computed form = 51 meV/atom
total magnetization = 0.0 μB per cell

Unit cell a=4.0149 b=4.2706 c=4.0149 alpha=90.00 beta=90.00 gamma=90.00
Positions (direct):
Ru  0.5000  0.5000  0.5000
Nb  0.0000  0.5000  0.0000
Os  0.0000  0.0000  0.5000
Os  0.5000  0.0000  0.0000
C  0.0000  0.0000  0.0000

[26]
DFT (PBE) results for a relaxed structure of NbOs2RuC.

Computed properties:
SG = P4/mmm
offset from the most stable computed form = 0 meV/atom
total magnetization = 0.0 μB per cell

Unit cell a=4.0727 b=4.0992 c=4.0727 alpha=90.00 beta=90.00 gamma=90.00
Positions (direct):
Ru  0.0000  0.5000  0.0000
Nb  0.5000  0.5000  0.5000
Os  0.0000  0.0000  0.5000
Os  0.5000  0.0000  0.0000
C  0.0000  0.0000  0.0000

[27]
DFT (PBE) results for a relaxed structure of Sc2NbOsC.

Computed properties:
SG = P4/mmm
total magnetization = 0.0 μB per cell

Unit cell a=4.3687 b=4.3687 c=4.3054 alpha=90.00 beta=90.00 gamma=90.00
Positions (direct):
Sc  0.0000  0.5000  0.9999
Sc  0.5000  0.0000  0.9999
Nb  0.0000  0.0000  0.5000
Os  0.5000  0.5000  0.5000
C  0.0000  0.0000  0.0001

[28]
DFT (PBE) results for a relaxed structure of Nb2OsWC.

Computed properties:
SG = P4/mmm
total magnetization = 0.0 μB per cell

Unit cell a=4.8560 b=4.6735 c=4.8560 alpha=90.00 beta=90.00 gamma=90.00
Positions (direct):
Nb  0.0000  0.0000  0.5000
Nb  0.5000  0.0000  0.0000
Os  0.0000  0.5000  0.0000
C  0.5000  0.5000  0.5000
W  0.0000  0.0000  0.0000

Number 1: final energy -10.3811 eV/atom. Number 2: final energy -10.9909 eV/atom. Number 3: final energy -10.4279 eV/atom. Number 4: final energy -10.9141 eV/atom. Number 5: final energy -11.0009 eV/atom. Number 6: final energy -7.0302 eV/atom. Number 7: final energy -7.9520 eV/atom. Number 8: final energy -7.0913 eV/atom. Number 9: final energy -6.6677 eV/atom. Number 10: final energy -7.2353 eV/atom. Number 11: final energy -8.9878 eV/atom. Number 12: final energy -8.5723 eV/atom. Number 13: final energy -7.3248 eV/atom. Number 14: final energy -10.0161 eV/atom. Number 15: final energy -6.4298 eV/atom. Number 16: final energy -6.3853 eV/atom. Number 17: final energy -6.8511 eV/atom. Number 18: final energy -5.9854 eV/atom. Number 19: final energy -5.6539 eV/atom. Number 20: final energy -6.6473 eV/atom. Number 21: final energy -7.1888 eV/atom. Number 22: final energy -6.4255 eV/atom. Number 23: final energy -7.0622 eV/atom. Number 24: final energy -7.0931 eV/atom. Number 25: final energy -10.0386 eV/atom. Number 26: final energy -10.0900 eV/atom. Number 27: final energy -8.7792 eV/atom. Number 28: final energy -7.8947 eV/atom.